# 1
BeZnPd2: optimized geometry, PBE.

As for the energy of formation: -0.49 eV per atom. As for the energy above the most stable polymorph in this dataset: 0.0808 eV/atom.

Cell and atoms, written as CIF:
```
data_BeZnPd2
_symmetry_space_group_name_H-M 'P 1'
_symmetry_Int_Tables_number 1
_cell_length_a 4.1947
_cell_length_b 4.1947
_cell_length_c 4.1947
_cell_angle_alpha 60.00
_cell_angle_beta 60.00
_cell_angle_gamma 60.00
loop_
_symmetry_equiv_pos_as_xyz
'x,y,z'
loop_
_atom_site_label
_atom_site_fract_x
_atom_site_fract_y
_atom_site_fract_z
_atom_site_occupancy
Be1 0.0000 0.0000 0.0000 1
Zn1 0.5000 0.5000 0.5000 1
Pd1 0.2500 0.2500 0.2500 1
Pd2 0.7500 0.7500 0.7500 1
```

=====

# 2
ZrBe9Pd2: optimized geometry, PBE.

As for the energy of formation: -0.33 eV per atom. As for the energy above the most stable polymorph in this dataset: 0.0000 eV/atom.

Cell and atoms, written as CIF:
```
data_ZrBe9Pd2
_symmetry_space_group_name_H-M 'P 1'
_symmetry_Int_Tables_number 1
_cell_length_a 7.5279
_cell_length_b 7.5279
_cell_length_c 7.5279
_cell_angle_alpha 34.51
_cell_angle_beta 34.51
_cell_angle_gamma 34.51
loop_
_symmetry_equiv_pos_as_xyz
'x,y,z'
loop_
_atom_site_label
_atom_site_fract_x
_atom_site_fract_y
_atom_site_fract_z
_atom_site_occupancy
Zr1 0.0000 0.0000 0.0000 1
Be1 0.0839 0.5856 0.5856 1
Be2 0.3321 0.3321 0.3321 1
Be3 0.4144 0.4144 0.9161 1
Be4 0.4144 0.9161 0.4144 1
Be5 0.5000 0.5000 0.5000 1
Be6 0.5856 0.0839 0.5856 1
Be7 0.5856 0.5856 0.0839 1
Be8 0.6679 0.6679 0.6679 1
Be9 0.9161 0.4144 0.4144 1
Pd1 0.1384 0.1384 0.1384 1
Pd2 0.8616 0.8616 0.8616 1
```

=====

# 3
Zr2Be16Pd: optimized geometry, PBE.

As for the energy of formation: -0.28 eV per atom.

Cell and atoms, written as CIF:
```
data_Zr2Be16Pd
_symmetry_space_group_name_H-M 'P 1'
_symmetry_Int_Tables_number 1
_cell_length_a 5.7673
_cell_length_b 5.7673
_cell_length_c 5.7673
_cell_angle_alpha 83.05
_cell_angle_beta 83.05
_cell_angle_gamma 83.05
loop_
_symmetry_equiv_pos_as_xyz
'x,y,z'
loop_
_atom_site_label
_atom_site_fract_x
_atom_site_fract_y
_atom_site_fract_z
_atom_site_occupancy
Zr1 0.0000 0.0000 0.0000 1
Zr2 0.3149 0.3149 0.3149 1
Be1 0.0021 0.0021 0.5007 1
Be2 0.0021 0.5007 0.0021 1
Be3 0.1543 0.6624 0.6624 1
Be4 0.3145 0.3145 0.8203 1
Be5 0.3145 0.8203 0.3145 1
Be6 0.3697 0.6583 0.9482 1
Be7 0.3697 0.9482 0.6583 1
Be8 0.5007 0.0021 0.0021 1
Be9 0.6583 0.3697 0.9482 1
Be10 0.6583 0.9482 0.3697 1
Be11 0.6624 0.1543 0.6624 1
Be12 0.6624 0.6624 0.1543 1
Be13 0.7672 0.7672 0.7672 1
Be14 0.8203 0.3145 0.3145 1
Be15 0.9482 0.3697 0.6583 1
Be16 0.9482 0.6583 0.3697 1
Pd1 0.5649 0.5649 0.5649 1
```

=====

# 4
ZrBePd4: optimized geometry, PBE.

As for the energy of formation: -0.45 eV per atom.

Cell and atoms, written as CIF:
```
data_ZrBePd4
_symmetry_space_group_name_H-M 'P 1'
_symmetry_Int_Tables_number 1
_cell_length_a 7.7081
_cell_length_b 7.7081
_cell_length_c 5.8248
_cell_angle_alpha 90.00
_cell_angle_beta 90.00
_cell_angle_gamma 146.93
loop_
_symmetry_equiv_pos_as_xyz
'x,y,z'
loop_
_atom_site_label
_atom_site_fract_x
_atom_site_fract_y
_atom_site_fract_z
_atom_site_occupancy
Zr1 0.1116 0.8884 0.7500 1
Zr2 0.8884 0.1116 0.2500 1
Be1 0.3924 0.6076 0.7500 1
Be2 0.6076 0.3924 0.2500 1
Pd1 0.0906 0.9094 0.2500 1
Pd2 0.3000 0.7000 0.0156 1
Pd3 0.3000 0.7000 0.4844 1
Pd4 0.5000 0.5000 0.0000 1
Pd5 0.5000 0.5000 0.5000 1
Pd6 0.7000 0.3000 0.5156 1
Pd7 0.7000 0.3000 0.9844 1
Pd8 0.9094 0.0906 0.7500 1
```

=====

# 5
Zr2BePd2: optimized geometry, PBE.

As for the energy of formation: -0.33 eV per atom.

Cell and atoms, written as CIF:
```
data_Zr2BePd2
_symmetry_space_group_name_H-M 'P 1'
_symmetry_Int_Tables_number 1
_cell_length_a 7.1052
_cell_length_b 7.1052
_cell_length_c 3.6027
_cell_angle_alpha 90.00
_cell_angle_beta 90.00
_cell_angle_gamma 90.00
loop_
_symmetry_equiv_pos_as_xyz
'x,y,z'
loop_
_atom_site_label
_atom_site_fract_x
_atom_site_fract_y
_atom_site_fract_z
_atom_site_occupancy
Zr1 0.1756 0.3244 0.0000 1
Zr2 0.3244 0.8244 0.0000 1
Zr3 0.6756 0.1756 0.0000 1
Zr4 0.8244 0.6756 0.0000 1
Be1 0.0000 0.0000 0.5000 1
Be2 0.5000 0.5000 0.5000 1
Pd1 0.1342 0.6342 0.5000 1
Pd2 0.3658 0.1342 0.5000 1
Pd3 0.6342 0.8658 0.5000 1
Pd4 0.8658 0.3658 0.5000 1
```

=====

# 6
ZrBe4Pd5: optimized geometry, PBE.

As for the energy of formation: -0.58 eV per atom.

Cell and atoms, written as CIF:
```
data_ZrBe4Pd5
_symmetry_space_group_name_H-M 'P 1'
_symmetry_Int_Tables_number 1
_cell_length_a 2.8573
_cell_length_b 2.8573
_cell_length_c 15.5352
_cell_angle_alpha 90.00
_cell_angle_beta 90.00
_cell_angle_gamma 90.00
loop_
_symmetry_equiv_pos_as_xyz
'x,y,z'
loop_
_atom_site_label
_atom_site_fract_x
_atom_site_fract_y
_atom_site_fract_z
_atom_site_occupancy
Zr1 0.0000 0.0000 0.0000 1
Be1 0.0000 0.0000 0.2263 1
Be2 0.0000 0.0000 0.4089 1
Be3 0.0000 0.0000 0.5911 1
Be4 0.0000 0.0000 0.7737 1
Pd1 0.5000 0.5000 0.1387 1
Pd2 0.5000 0.5000 0.3200 1
Pd3 0.5000 0.5000 0.5000 1
Pd4 0.5000 0.5000 0.6800 1
Pd5 0.5000 0.5000 0.8613 1
```